This record from Alexandria describes a geometry-optimized Rb2Ga2Se5 structure. The functional is PBE.

The structure in POSCAR format:
```
Rb2Ga2Se5
1.0
6.295 -2.423 0.000
6.295 2.423 0.000
-1.863 0.000 9.766
Rb Ga Se
2 2 5
Direct
0.092 0.092 0.349 Rb
0.908 0.908 0.651 Rb
0.336 0.336 0.133 Ga
0.664 0.664 0.867 Ga
0.151 0.151 0.989 Se
0.382 0.382 0.367 Se
0.500 0.500 0.000 Se
0.618 0.618 0.633 Se
0.849 0.849 0.011 Se
```

Calculated values
The total energy comes out at -30.9 eV/f.u. As for the volume: 33.10 A^3/atom. The calculation puts the total magnetic moment at 0.000 μB per formula unit. The energy relative to the elements, uncorrected is -0.61 eV per atom. As for the space-group type: C2/m.

---

This record from Alexandria describes a geometry-optimized RbGaSe2 structure. The functional is PBE.

The structure in POSCAR format:
```
RbGaSe2
1.0
-3.386 3.386 5.641
3.386 -3.386 5.641
3.386 3.386 -5.641
Rb Ga Se
2 2 4
Direct
0.375 0.625 0.750 Rb
0.625 0.375 0.250 Rb
0.125 0.875 0.250 Ga
0.875 0.125 0.750 Ga
0.078 0.328 0.750 Se
0.328 0.078 0.250 Se
0.672 0.922 0.750 Se
0.922 0.672 0.250 Se
```

Calculated values
The total energy comes out at -13.5 eV/f.u. As for the volume: 32.34 A^3/atom. The calculation puts the total magnetic moment at 0.000 μB per formula unit. The energy relative to the elements, uncorrected is -0.64 eV per atom. As for the space-group type: I4_1/amd.

---

This record from Alexandria describes a geometry-optimized Rb5Ga2Se5 structure. The functional is PBE.

The structure in POSCAR format:
```
Rb5Ga2Se5
1.0
7.796 -2.309 0.000
7.796 2.309 0.000
-2.013 0.000 11.590
Rb Ga Se
5 2 5
Direct
0.000 0.000 0.000 Rb
0.145 0.145 0.591 Rb
0.281 0.281 0.871 Rb
0.719 0.719 0.129 Rb
0.855 0.855 0.409 Rb
0.471 0.471 0.707 Ga
0.529 0.529 0.293 Ga
0.112 0.112 0.284 Se
0.389 0.389 0.158 Se
0.500 0.500 0.500 Se
0.611 0.611 0.842 Se
0.888 0.888 0.716 Se
```

Calculated values
The total energy comes out at -39.3 eV/f.u. As for the volume: 34.78 A^3/atom. The calculation puts the total magnetic moment at 0.000 μB per formula unit. The energy relative to the elements, uncorrected is -0.92 eV per atom. As for the space-group type: C2/m.